Density functional theory data (PBE) for an optimized crystal structure of PaNi6B3.

Summary:
The value obtained for the theoretical density is 9.3 Mg/m³. Its space group is R3, No. 146. The value obtained for the calculated total energy is -6.7051 eV/atom. For the formation energy, the calculation gives -0.2835 eV/atom.

a b c (Å): 4.923 4.923 5.971
angles (deg): 90.00 114.34 120.00
Fractional positions:
Ni  0.606  0.521  0.252
Ni  0.167  0.645  0.252
Ni  0.290  0.399  0.669
B  0.316  0.658  0.974
Ni  0.730  0.085  0.252
Ni  0.269  0.891  0.669
B  0.257  0.129  0.386
Ni  0.778  0.379  0.669
B  0.648  0.324  0.972
Pa  0.937  0.969  0.906